Compound: Tc3PbO
Source: the Alexandria database
Functional: SCAN
Structure: single point on PBEsol structure

Results
Calculated density, g/cm³: 6.5
Formation energy (no corrections), meV/atom: 2844

Cell: 5.1039 5.1039 5.1039 Å, 90.00 90.00 90.00°
Closest atoms and distances in Å follow each position.
Fractional coordinates of all 5 atoms:
1 Tc 0.0000 0.5000 0.0000  2 Pb 2.55
2 Tc 0.5000 0.0000 0.0000  2 Pb 2.55
3 Tc 0.0000 0.0000 0.5000  2 Pb 2.55
4 O 0.5000 0.5000 0.5000  12 Tc 3.61
5 Pb 0.0000 0.0000 0.0000  6 Tc 2.55